No. 1
Below is an optimized crystal structure of Y3AlAg3Se8, with properties calculated at the PBE level.

Results
- Crystal system: monoclinic
- V: 25.08 Å³ per atom
- Calculated total energy: -5.01 eV/atom
- Raw formation energy: -1.035 eV per atom
- ρ: 5.51 Mg/m³

a = 8.0018 Å, b = 8.0018 Å, c = 8.0225 Å
α = 118.44°, β = 118.44°, γ = 61.66°
Fractional coordinates of all 15 atoms:
1 Y 0.0000 0.0000 0.0000
2 Y 0.0000 0.5000 0.5000
3 Y 0.5000 0.0000 0.5000
4 Al 0.5000 0.5000 0.0000
5 Ag 0.0000 0.5000 0.0000
6 Ag 0.5000 0.0000 0.0000
7 Ag 0.5000 0.5000 0.5000
8 Se 0.2479 0.2479 0.2533
9 Se 0.2712 0.2712 0.7742
10 Se 0.2710 0.7247 0.2278
11 Se 0.2753 0.7290 0.7722
12 Se 0.7247 0.2710 0.2278
13 Se 0.7290 0.2753 0.7722
14 Se 0.7288 0.7288 0.2258
15 Se 0.7521 0.7521 0.7467

No. 2
Below is an optimized crystal structure of K6CdHg2, with properties calculated at the PBE level.

Results
- Crystal system: trigonal
- Polymorph energy (0 for the lowest one): 16 meV per atom
- V: 46.03 Å³ per atom
- Calculated total energy: -1.00 eV/atom
- ΔE_f: -103 meV/atom
- ρ: 3.00 Mg/m³

a = 12.5389 Å, b = 12.5389 Å, c = 12.5389 Å
α = 29.17°, β = 29.17°, γ = 29.17°
Fractional coordinates of all 9 atoms:
1 K 0.0770 0.0770 0.0770
2 K 0.1980 0.1980 0.1980
3 K 0.3129 0.3129 0.3129
4 K 0.6871 0.6871 0.6871
5 K 0.8020 0.8020 0.8020
6 K 0.9230 0.9230 0.9230
7 Cd 0.5000 0.5000 0.5000
8 Hg 0.4161 0.4161 0.4161
9 Hg 0.5839 0.5839 0.5839

No. 3
Below is an optimized crystal structure of Ce3Mn2Si9, with properties calculated at the PBE level.

Results
- Crystal system: trigonal
- V: 16.84 Å³ per atom
- Calculated total energy: -6.50 eV/atom
- Raw formation energy: -0.437 eV per atom
- ρ: 5.52 Mg/m³

a = 5.9830 Å, b = 5.9830 Å, c = 7.6050 Å
α = 90.00°, β = 90.00°, γ = 120.00°
Fractional coordinates of all 14 atoms:
1 Ce 0.0000 0.0000 0.0000
2 Ce 0.3333 0.6667 0.3384
3 Ce 0.6667 0.3333 0.6616
4 Mn 0.3333 0.6667 0.7968
5 Mn 0.6667 0.3333 0.2032
6 Si 0.0000 0.5000 0.0000
7 Si 0.1404 0.2809 0.6378
8 Si 0.1404 0.8596 0.6378
9 Si 0.2809 0.1404 0.3622
10 Si 0.5000 0.0000 0.0000
11 Si 0.5000 0.5000 0.0000
12 Si 0.7191 0.8596 0.6378
13 Si 0.8596 0.1404 0.3622
14 Si 0.8596 0.7191 0.3622

No. 4
Below is an optimized crystal structure of KAl2Cl, with properties calculated at the PBE level.

Results
- Crystal system: trigonal
- Polymorph energy (0 for the lowest one): 191 meV per atom
- V: 27.24 Å³ per atom
- Calculated total energy: -2.86 eV/atom
- Raw formation energy: -0.255 eV per atom
- ρ: 1.96 Mg/m³

a = 8.8922 Å, b = 8.8922 Å, c = 8.8922 Å
α = 24.82°, β = 24.82°, γ = 24.82°
Fractional coordinates of all 4 atoms:
1 K 0.0000 0.0000 0.0000
2 Al 0.5057 0.5057 0.5057
3 Al 0.7780 0.7780 0.7780
4 Cl 0.2533 0.2533 0.2533

No. 5
Below is an optimized crystal structure of NdMgInSn, with properties calculated at the PBE level.

Results
- Crystal system: cubic
- Polymorph energy (0 for the lowest one): 195 meV per atom
- V: 26.71 Å³ per atom
- Calculated total energy: -3.58 eV/atom
- ΔE_f: -304 meV/atom
- ρ: 6.25 Mg/m³

a = 5.3265 Å, b = 5.3265 Å, c = 5.3265 Å
α = 60.00°, β = 60.00°, γ = 60.00°
Fractional coordinates of all 4 atoms:
1 Nd 0.0000 0.0000 0.0000
2 Mg 0.5000 0.5000 0.5000
3 In 0.2500 0.2500 0.2500
4 Sn 0.7500 0.7500 0.7500

No. 6
Below is an optimized crystal structure of ZnRe2Ni, with properties calculated at the PBE level.

Results
- Crystal system: monoclinic
- V: 13.87 Å³ per atom
- Calculated total energy: -7.75 eV/atom
- ΔE_f: 235 meV/atom
- ρ: 14.86 Mg/m³

a = 2.6068 Å, b = 4.2283 Å, c = 5.1630 Å
α = 90.00°, β = 102.85°, γ = 90.00°
Fractional coordinates of all 4 atoms:
1 Zn 0.0000 0.0000 0.0000
2 Re 0.4790 0.5000 0.7472
3 Re 0.5210 0.5000 0.2528
4 Ni 0.0000 0.0000 0.5000